Here is Er3Ga7Cu4 after structural relaxation from Alexandria via LeMat-Bulk. Energies are from PBE.

Results
The calculation puts the density of states at the Fermi level at 0.3003 states/eV/atom. The calculated formation energy comes out at -0.47 eV per atom. For the total moment, the calculation gives 0.00 Bohr magnetons per cell.

The structure in CIF format:
```
data_Er3Ga7Cu4
_chemical_formula_sum 'Er6 Ga14 Cu8'
_space_group_name_H-M_alt 'C 1 2/m 1'
_space_group_IT_number 12
_cell_length_a 15.491
_cell_length_b 4.181
_cell_length_c 9.378
_cell_angle_alpha 90.00
_cell_angle_beta 127.14
_cell_angle_gamma 90.00
loop_
_space_group_symop_operation_xyz
'x,y,z'
'-x,-y,-z'
'-x,y,-z'
'x,-y,z'
'x+1/2,y+1/2,z'
'-x+1/2,-y+1/2,-z'
'-x+1/2,y+1/2,-z'
'x+1/2,-y+1/2,z'
loop_
_atom_site_label
_atom_site_type_symbol
_atom_site_fract_x
_atom_site_fract_y
_atom_site_fract_z
_atom_site_occupancy
Er1 Er 0.000 0.000 0.000 1
Er2 Er 0.191 0.500 0.694 1
Ga1 Ga 0.000 0.000 0.500 1
Ga2 Ga 0.000 0.500 0.288 1
Ga3 Ga 0.154 0.000 0.422 1
Ga4 Ga 0.169 0.500 0.036 1
Cu1 Cu 0.136 0.000 0.861 1
Cu2 Cu 0.157 0.500 0.284 1
```